VASP calculation (PBE) on a geometry-optimized YThAgAu structure.

For the total magnetic moment, the calculation gives 0.0 μB/cell. For the density, the calculation gives 10.4 g/cm3. The value obtained for the formation energy is -0.4170 eV/atom.

It has space group F-43m (No. 216), with a = 7.374 Å, b = 7.374 Å, c = 7.374 Å, α = 90.00°, β = 90.00° and γ = 90.00°. The distinct sites, in fractional coordinates, are Y at (0.000, 0.000, 0.000), Th at (0.000, 0.000, 0.500), Ag at (0.250, 0.250, 0.250) and Au at (0.250, 0.250, 0.750).